The following is a DFT calculation (PBE+U) of AsWBr2F after structural relaxation.

a = 5.0629 Å, b = 5.0629 Å, c = 4.9174 Å
α = 90.00°, β = 90.00°, γ = 90.00°
With the nearest neighbours (Å) after each atom.
Space group P4/mmm (No. 123)
One atom of each set of equivalent atoms:
As 0.0000 0.0000 0.0000 [1 per cell]  2 W 2.46
W 0.0000 0.0000 0.5000 [1 per cell]  2 As 2.46, 4 Br 2.53
Br 0.0000 0.5000 0.5000 [2 per cell]  2 W 2.53
F 0.5000 0.5000 0.0000 [1 per cell]  8 Br 3.53, 4 As 3.58

Results
E_tot = -15.55 eV/cell